# Nb2Ir9Rh

A relaxed structure of Nb2Ir9Rh (PBE-GGA, Alexandria).

Summary:
The spin magnetization is 0.000 μB/f.u. Its final energy is -9.304 eV/atom.

Lattice parameters (Å, degrees): 3.913 3.913 11.727 90.00 90.00 90.00
Space group P4/mmm (No. 123)
Asymmetric unit:
Nb 0.000 0.000 0.169
Ir 0.000 0.500 0.000
Ir 0.000 0.500 0.335
Ir 0.500 0.500 0.167
Ir 0.500 0.500 0.500
Rh 0.000 0.000 0.500



# NbIr3Rh6

A relaxed structure of NbIr3Rh6 (PBE-GGA, Alexandria).

Summary:
The spin magnetization is 0.000 μB/f.u. Its final energy is -8.213 eV/atom.

Lattice parameters (Å, degrees): 8.687 3.878 8.691 90.00 90.08 90.00
Space group P2_1/m (No. 11)
Asymmetric unit:
Nb 0.059 0.250 0.384
Ir 0.252 0.250 0.997
Ir 0.347 0.750 0.804
Ir 0.450 0.250 0.604
Rh 0.050 0.750 0.902
Rh 0.148 0.250 0.696
Rh 0.153 0.750 0.205
Rh 0.250 0.750 0.503
Rh 0.355 0.250 0.302
Rh 0.452 0.750 0.100